NdSCl | GGA-PBE | relaxed

```
NdSCl
1.0
4.3348 0.6543 -0.6430
-1.0158 7.1454 0.4574
-3.3116 -2.5641 5.5861
S Cl Nd
2 2 2
direct
0.0213 0.0602 0.2711
0.9787 0.9398 0.7289
0.9986 0.4380 0.7483
0.0014 0.5620 0.2517
0.4182 0.8059 0.1683
0.5818 0.1941 0.8317
```

Results
total magnetic moment: 0.0 μB/cell
N(E_F): 0.00 states/eV per atom
raw total energy: -34.6 eV for the cell shown